No. 1
VASP calculation (PBE) on crystalline RbBiP2Pt4 at its relaxed geometry.

a = 4.0860 Å, b = 4.0860 Å, c = 10.9030 Å
α = 90.00°, β = 90.00°, γ = 90.00°
Closest atoms and distances in Å follow each position.
Space group P4/mmm (No. 123)
Symmetry-distinct sites (fractional):
Rb 0.0000 0.0000 0.0000 (multiplicity 1)  8 P 3.60, 8 Pt 3.86
Bi 0.0000 0.0000 0.5000 (multiplicity 1)  8 Pt 2.98
P 0.5000 0.5000 0.1970 (multiplicity 2)  4 Pt 2.33
Pt 0.0000 0.5000 0.3007 (multiplicity 4)  2 P 2.33

Values from the calculation:
The formation energy comes out at -3.44 eV per formula unit.

***

No. 2
VASP calculation (PBE) on crystalline Co2TcCl at its relaxed geometry.

a = 7.7663 Å, b = 2.7734 Å, c = 6.3365 Å
α = 90.00°, β = 92.09°, γ = 90.00°
Closest atoms and distances in Å follow each position.
Space group Cm (No. 8)
Symmetry-distinct sites (fractional):
Co 0.0000 0.0000 0.0000 (multiplicity 2)  3 Tc 2.33-2.45, 3 Co 2.43-2.46
Co 0.2209 0.5000 0.1706 (multiplicity 2)  1 Cl 2.25, 3 Co 2.43-2.46, 2 Tc 2.52
Tc 0.2675 0.0000 0.8454 (multiplicity 2)  5 Co 2.33-2.52, 2 Cl 2.46
Cl 0.2304 0.5000 0.5263 (multiplicity 2)  1 Co 2.25, 2 Tc 2.46

Values from the calculation:
As for the polymorph energy (0 for the lowest one): 138 meV per atom.

***

No. 3
VASP calculation (PBE) on crystalline Ca4YHo3Se8 at its relaxed geometry.

a = 8.1984 Å, b = 8.1984 Å, c = 20.4695 Å
α = 90.00°, β = 90.00°, γ = 120.00°
Closest atoms and distances in Å follow each position.
Space group R-3m (No. 166, hexagonal axes)
Symmetry-distinct sites (fractional):
Ca 0.0000 0.0000 0.0000 (multiplicity 3)  6 Se 2.93
Ca 0.0000 0.5000 0.0000 (multiplicity 9)  6 Se 2.94
Y 0.0000 0.0000 0.5000 (multiplicity 3)  6 Se 2.90
Ho 0.0000 0.5000 0.5000 (multiplicity 9)  6 Se 2.89
Se 0.0000 0.0000 0.2479 (multiplicity 6)  3 Ho 2.89, 3 Ca 2.94
Se 0.0014 0.5007 0.7517 (multiplicity 18)  2 Ho 2.89, 1 Y 2.90, 3 Ca 2.93-2.94

Values from the calculation:
As for the total energy: -5.373 eV/atom.

***

No. 4
VASP calculation (PBE) on crystalline DyHoHgRu at its relaxed geometry.

a = 3.4680 Å, b = 3.4680 Å, c = 7.5073 Å
α = 90.00°, β = 90.00°, γ = 90.00°
Closest atoms and distances in Å follow each position.
Space group P4mm (No. 99)
Symmetry-distinct sites (fractional):
Dy 0.0000 0.0000 0.0000 (multiplicity 1)  4 Ru 2.96, 4 Hg 3.24, 1 Ho 3.30
Ho 0.0000 0.0000 0.5598 (multiplicity 1)  4 Ru 2.95, 4 Hg 3.22, 1 Dy 3.30
Hg 0.5000 0.5000 0.2818 (multiplicity 1)  4 Ho 3.22, 4 Dy 3.24, 4 Hg 3.47
Ru 0.5000 0.5000 0.7786 (multiplicity 1)  4 Ho 2.95, 4 Dy 2.96

Values from the calculation:
The formation energy comes out at -1.97 eV per formula unit. As for the polymorph energy (0 for the lowest one): 0 meV per atom.

***

No. 5
VASP calculation (PBE) on crystalline NbCoMoAu2 at its relaxed geometry.

a = 4.9665 Å, b = 4.9665 Å, c = 4.2491 Å
α = 90.00°, β = 90.00°, γ = 90.00°
Closest atoms and distances in Å follow each position.
Space group P4/mmm (No. 123)
Symmetry-distinct sites (fractional):
Nb 0.0000 0.0000 0.0000 (multiplicity 1)  8 Au 3.27, 4 Co 3.51
Co 0.5000 0.5000 0.0000 (multiplicity 1)  2 Mo 2.12
Mo 0.5000 0.5000 0.5000 (multiplicity 1)  2 Co 2.12
Au 0.0000 0.5000 0.5000 (multiplicity 2)  2 Mo 2.48

Values from the calculation:
The formation energy comes out at 7.35 eV per formula unit.

***

No. 6
VASP calculation (PBE) on crystalline LiTm2Bi at its relaxed geometry.

a = 10.4494 Å, b = 3.5248 Å, c = 6.0992 Å
α = 90.00°, β = 90.00°, γ = 90.00°
Closest atoms and distances in Å follow each position.
Space group Amm2 (No. 38)
Symmetry-distinct sites (fractional):
Li 0.0000 0.0000 0.0000 (multiplicity 2)  6 Tm 3.32, 6 Li 3.52
Tm 0.2508 0.0000 0.3342 (multiplicity 4)  3 Bi 3.30, 3 Li 3.32, 6 Tm 3.52
Bi 0.5000 0.0000 0.0009 (multiplicity 2)  6 Tm 3.30, 6 Bi 3.52

Values from the calculation:
The formation energy comes out at -0.33 eV per formula unit. As for the polymorph energy (0 for the lowest one): 241 meV per atom.

***

No. 7
VASP calculation (PBE) on crystalline LiMg at its relaxed geometry.

a = 3.1015 Å, b = 3.1015 Å, c = 30.9094 Å
α = 90.00°, β = 90.00°, γ = 120.00°
Closest atoms and distances in Å follow each position.
Space group R-3m (No. 166, hexagonal axes)
Symmetry-distinct sites (fractional):
Li 0.0000 0.0000 0.1268 (multiplicity 6)  9 Li 3.04-3.10, 3 Mg 3.08
Mg 0.0000 0.0000 0.3790 (multiplicity 6)  3 Li 3.08, 9 Mg 3.10-3.34

Values from the calculation:
The formation energy comes out at -0.01 eV per formula unit.

***

No. 8
VASP calculation (PBE) on crystalline Tl4Cl5 at its relaxed geometry.

a = 13.5636 Å, b = 13.5636 Å, c = 4.1555 Å
α = 90.00°, β = 90.00°, γ = 90.00°
Closest atoms and distances in Å follow each position.
Space group I4/mmm (No. 139)
Symmetry-distinct sites (fractional):
Tl 0.0000 0.2122 0.0000 (multiplicity 8)  5 Cl 2.88-3.08
Cl 0.0000 0.0000 0.0000 (multiplicity 2)  4 Tl 2.88
Cl 0.1589 0.1589 0.5000 (multiplicity 8)  4 Tl 3.08

Values from the calculation:
As for the polymorph energy (0 for the lowest one): 74 meV per atom.

***

No. 9
VASP calculation (PBE) on crystalline PrPF at its relaxed geometry.

a = 9.8124 Å, b = 4.0424 Å, c = 7.0069 Å
α = 90.00°, β = 110.91°, γ = 90.00°
Closest atoms and distances in Å follow each position.
Space group C2/m (No. 12)
Symmetry-distinct sites (fractional):
Pr 0.1889 0.0000 0.2294 (multiplicity 4)  3 F 2.44-2.46
P 0.0510 0.5000 0.8831 (multiplicity 4)  1 P 2.20
F 0.1981 0.0000 0.5852 (multiplicity 4)  3 Pr 2.44-2.46, 2 F 2.72

Values from the calculation:
As for the polymorph energy (0 for the lowest one): 0 meV per atom.

***

No. 10
VASP calculation (PBE) on crystalline MgCo3C at its relaxed geometry.

a = 3.7757 Å, b = 3.7757 Å, c = 3.7757 Å
α = 90.00°, β = 90.00°, γ = 90.00°
Closest atoms and distances in Å follow each position.
Space group Pm-3m (No. 221)
Symmetry-distinct sites (fractional):
Mg 0.0000 0.0000 0.0000 (multiplicity 1)  12 Co 2.67
Co 0.0000 0.5000 0.5000 (multiplicity 3)  2 C 1.89
C 0.5000 0.5000 0.5000 (multiplicity 1)  6 Co 1.89

Values from the calculation:
The formation energy comes out at -0.34 eV per formula unit. As for the polymorph energy (0 for the lowest one): 0 meV per atom.

***

No. 11
VASP calculation (PBE) on crystalline Na3In5Ge2 at its relaxed geometry.

a = 12.1948 Å, b = 13.4568 Å, c = 6.8248 Å
α = 90.00°, β = 90.00°, γ = 90.00°
Closest atoms and distances in Å follow each position.
Space group Ibam (No. 72)
Symmetry-distinct sites (fractional):
Na 0.0000 0.0000 0.2500 (multiplicity 4)  4 Ge 2.96, 2 In 3.29
Na 0.2432 0.3681 0.0000 (multiplicity 8)  3 Ge 3.43-3.73, 6 In 3.47-3.80
In 0.0000 0.2445 0.2500 (multiplicity 8)  2 Ge 2.80, 2 In 3.01
In 0.0000 0.5000 0.2500 (multiplicity 4)  4 In 3.04
In 0.1486 0.3706 0.5000 (multiplicity 8)  1 Ge 2.66
Ge 0.1336 0.1330 0.0000 (multiplicity 8)  3 In 2.66-2.80, 2 Na 2.96

Values from the calculation:
The formation energy comes out at -0.40 eV per formula unit.

***

No. 12
VASP calculation (PBE) on crystalline Li3Er3PdO8 at its relaxed geometry.

a = 6.5637 Å, b = 6.5637 Å, c = 14.8829 Å
α = 90.00°, β = 90.00°, γ = 120.00°
Closest atoms and distances in Å follow each position.
Space group R-3m (No. 166, hexagonal axes)
Symmetry-distinct sites (fractional):
Li 0.0000 0.5000 0.0000 (multiplicity 9)  6 O 2.26-2.32
Er 0.0000 0.5000 0.5000 (multiplicity 9)  6 O 2.21-2.28
Pd 0.0000 0.0000 0.5000 (multiplicity 3)  6 O 2.08
O 0.0000 0.0000 0.2433 (multiplicity 6)  3 Er 2.21, 3 Li 2.32
O 0.0271 0.5135 0.2434 (multiplicity 18)  1 Pd 2.08, 2 Li 2.26, 2 Er 2.28

Values from the calculation:
As for the total energy: -6.697 eV/atom.